DFT (PBE) results for a relaxed structure of TcSnBr2.

Cell lengths 3.4712, 3.4712, 31.6891 Å; angles 90.00, 90.00, 120.00 degrees
Space group R-3m (No. 166, hexagonal axes)
Inequivalent atoms, fractional coordinates:
Tc 0.0000 0.0000 0.0000
Sn 0.0000 0.0000 0.5000
Br 0.0000 0.0000 0.3846

Summary:
**Excess energy over the best structure of this formula in the dataset**: 0.059 eV per atom
**Density of states at the Fermi level**: 0.52 states/eV per atom
**Density**: 5.67 g/cm3
**Total DFT energy (no corrections)**: -50.24 eV per cell